Material: Dy5Tl2Sn2
Method: DFT, PBE
State: relaxed

```
18
Lattice="8.093 0.000 0.000 0.000 8.192 0.000 0.000 -4.096 7.845" Properties=species:S:1:pos:R:3 pbc="T T T"
Dy 0.000 0.000 0.000
Dy 4.046 4.096 0.000
Dy 6.716 5.517 2.195
Dy 1.377 2.675 2.195
Dy 2.670 6.770 2.195
Dy 5.423 1.421 2.195
Dy 1.377 -1.421 5.650
Dy 6.716 1.421 5.650
Dy 5.423 -2.675 5.650
Dy 2.670 2.675 5.650
Tl 5.100 7.123 0.000
Tl 2.993 1.068 0.000
Tl 1.054 5.164 0.000
Tl 7.039 3.027 0.000
Sn 0.000 0.000 3.230
Sn 4.046 4.096 3.230
Sn 0.000 4.096 4.615
Sn 4.046 0.000 4.615
```

Theoretical density, kg/m3: 9316
Formation energy from the elements, eV per atom: -0.52
Calculated volume, Å³ per atom: 28.89
Electronic total energy, eV per atom: -4.49